Run one
Material: FeAgRu2
Method: DFT, meta-GGA SCAN
State: PBEsol geometry

Values from the calculation:
For the mass density, the calculation gives 11.22 g cm⁻³. For the magnetic moment, the calculation gives 3.78 μB per cell.

a = 3.7541 Å, b = 3.7541 Å, c = 3.8406 Å
α = 90.00°, β = 90.00°, γ = 90.00°
With the nearest neighbours (Å) after each atom.
Fractional positions:
Ru: 0.5000 0.0000 0.0000  4 Ru 2.65, 4 Ag 2.69, 4 Fe 2.69
Ru: 0.0000 0.5000 0.0000  4 Ru 2.65, 4 Fe 2.69, 4 Ag 2.69
Fe: 0.0000 0.0000 0.5000  4 Ag 2.65, 8 Ru 2.69
Ag: 0.5000 0.5000 0.5000  4 Fe 2.65, 8 Ru 2.69

---

Run two
Material: FeAgRu2
Method: DFT, meta-GGA SCAN
State: PBEsol geometry

Values from the calculation:
For the mass density, the calculation gives 10.90 g cm⁻³. For the magnetic moment, the calculation gives 4.43 μB per cell.

a = 2.6289 Å, b = 2.6289 Å, c = 9.0329 Å
α = 90.00°, β = 90.00°, γ = 116.79°
With the nearest neighbours (Å) after each atom.
Fractional positions:
Ru: 0.0000 0.0000 0.0066  2 Fe 2.50, 8 Ru 2.58-2.76
Ru: 0.5000 0.5000 0.7645  8 Ru 2.58-2.76, 2 Ag 2.82
Ag: 0.0000 0.0000 0.4917  6 Ag 2.63-2.76, 2 Fe 2.68, 2 Ru 2.82
Fe: 0.5000 0.5000 0.2371  2 Ru 2.50, 6 Fe 2.63-2.76, 2 Ag 2.68

---

Which structure is the least stable? The one labeled run one.

---

Run one
Material: Ta2FeAg
Method: DFT, meta-GGA SCAN
State: PBEsol geometry

Values from the calculation:
For the mass density, the calculation gives 14.06 g cm⁻³. For the magnetic moment, the calculation gives 1.37 μB per cell.

a = 2.7811 Å, b = 4.4477 Å, c = 5.0581 Å
α = 90.00°, β = 97.21°, γ = 90.00°
With the nearest neighbours (Å) after each atom.
Fractional positions:
Ta: 0.0037 0.0000 0.9464  2 Fe 2.56, 3 Ag 2.71-2.77, 2 Ta 2.78
Ta: 0.7675 0.5000 0.2703  1 Fe 2.47, 2 Ag 2.74
Ag: 0.3723 0.0000 0.4759  7 Ta 2.71-2.90, 2 Ag 2.78, 2 Fe 2.79
Fe: 0.3565 0.5000 0.8074  3 Ta 2.47-2.56

---

Run two
Material: Ta2FeAg
Method: DFT, meta-GGA SCAN
State: PBEsol geometry

Values from the calculation:
For the mass density, the calculation gives 14.19 g cm⁻³. For the magnetic moment, the calculation gives 0.00 μB per cell.

a = 2.8010 Å, b = 2.8010 Å, c = 7.8414 Å
α = 90.00°, β = 90.00°, γ = 90.11°
With the nearest neighbours (Å) after each atom.
Fractional positions:
Ta: 0.0000 0.0000 0.2129  4 Fe 2.59, 4 Ta 2.80
Ta: 0.0000 0.0000 0.7871  4 Fe 2.59, 4 Ta 2.80
Fe: 0.5000 0.5000 0.0000  8 Ta 2.59, 4 Fe 2.80
Ag: 0.5000 0.5000 0.5000  4 Ag 2.80, 8 Ta 3.00

---

Which structure is the least stable? The one labeled run one.

---

Run one
Material: FeAg2W
Method: DFT, meta-GGA SCAN
State: PBEsol geometry

Values from the calculation:
For the mass density, the calculation gives 13.12 g cm⁻³. For the magnetic moment, the calculation gives 1.00 μB per cell.

a = 3.6335 Å, b = 3.6335 Å, c = 5.0666 Å
α = 111.01°, β = 111.01°, γ = 90.00°
With the nearest neighbours (Å) after each atom.
Fractional positions:
Fe: 0.5000 0.5000 0.0000  4 W 2.57, 8 Ag 2.84
Ag: 0.7500 0.2500 0.5000  4 Ag 2.57, 4 Fe 2.84, 4 W 2.84
Ag: 0.2500 0.7500 0.5000  4 Ag 2.57, 4 W 2.84, 4 Fe 2.84
W: 0.0000 0.0000 0.0000  4 Fe 2.57, 8 Ag 2.84

---

Run two
Material: FeAg2W
Method: DFT, meta-GGA SCAN
State: PBEsol geometry

Values from the calculation:
For the mass density, the calculation gives 12.18 g cm⁻³. For the magnetic moment, the calculation gives 3.01 μB per cell.

a = 2.6727 Å, b = 4.8191 Å, c = 4.8191 Å
α = 90.00°, β = 90.00°, γ = 90.00°
With the nearest neighbours (Å) after each atom.
Fractional positions:
W: 0.5000 0.0000 0.0000  2 W 2.67, 8 Ag 2.76
Ag: 0.0000 0.5000 0.0000  2 Ag 2.67, 4 Fe 2.76, 4 W 2.76
Ag: 0.0000 0.0000 0.5000  2 Ag 2.67, 4 Fe 2.76, 4 W 2.76
Fe: 0.5000 0.5000 0.5000  2 Fe 2.67, 8 Ag 2.76

---

Run three
Material: FeAg2W
Method: DFT, meta-GGA SCAN
State: PBEsol geometry

Values from the calculation:
For the mass density, the calculation gives 12.49 g cm⁻³. For the magnetic moment, the calculation gives 2.28 μB per cell.

a = 4.4072 Å, b = 4.4072 Å, c = 4.4072 Å
α = 60.00°, β = 60.00°, γ = 60.00°
With the nearest neighbours (Å) after each atom.
Fractional positions:
Fe: 0.0000 0.0000 0.0000  8 Ag 2.70
Ag: 0.7500 0.7500 0.7500  4 Fe 2.70, 4 W 2.70
Ag: 0.2500 0.2500 0.2500  4 W 2.70, 4 Fe 2.70
W: 0.5000 0.5000 0.5000  8 Ag 2.70

---

Run four
Material: FeAg2W
Method: DFT, meta-GGA SCAN
State: PBEsol geometry

Values from the calculation:
For the mass density, the calculation gives 12.50 g cm⁻³. For the magnetic moment, the calculation gives 2.97 μB per cell.

a = 2.7361 Å, b = 2.7361 Å, c = 9.4662 Å
α = 81.69°, β = 81.69°, γ = 60.00°
With the nearest neighbours (Å) after each atom.
Fractional positions:
W: 0.0000 0.0000 0.0000  6 W 2.74, 6 Ag 2.90
Fe: 0.5000 0.5000 0.5000  6 Fe 2.74, 6 Ag 2.74
Ag: 0.2465 0.2465 0.2605  6 Ag 2.74, 3 Fe 2.74, 3 W 2.90
Ag: 0.7535 0.7535 0.7395  6 Ag 2.74, 3 Fe 2.74, 3 W 2.90

---

Which structure is the least stable? The one labeled run three.

---

Run one
Material: FeAgW2
Method: DFT, meta-GGA SCAN
State: PBEsol geometry

Values from the calculation:
For the mass density, the calculation gives 15.02 g cm⁻³. For the magnetic moment, the calculation gives 2.03 μB per cell.

a = 2.6395 Å, b = 2.6395 Å, c = 8.8276 Å
α = 90.00°, β = 90.00°, γ = 107.16°
With the nearest neighbours (Å) after each atom.
Fractional positions:
Fe: 0.5000 0.5000 0.0000  4 W 2.56, 4 Fe 2.64
Ag: 0.5000 0.5000 0.5000  4 Ag 2.64, 4 W 2.86
W: 0.0000 0.0000 0.7713  2 Fe 2.56, 4 W 2.64
W: 0.0000 0.0000 0.2287  2 Fe 2.56, 4 W 2.64

---

Run two
Material: FeAgW2
Method: DFT, meta-GGA SCAN
State: PBEsol geometry

Values from the calculation:
For the mass density, the calculation gives 15.01 g cm⁻³. For the magnetic moment, the calculation gives 2.46 μB per cell.

a = 2.6309 Å, b = 4.7150 Å, c = 4.9729 Å
α = 96.86°, β = 90.00°, γ = 106.20°
With the nearest neighbours (Å) after each atom.
Fractional positions:
W: 0.0053 0.0106 0.0081  5 W 2.63-2.84, 3 Fe 2.72-2.75, 4 Ag 2.75-2.88
W: 0.2487 0.4975 0.7490  5 W 2.63-2.84, 3 Ag 2.72-2.80, 4 Fe 2.80-2.83
Fe: 0.7493 0.4987 0.2520  2 Fe 2.63, 3 Ag 2.71-2.74, 7 W 2.72-2.83
Ag: 0.4966 0.9933 0.4909  2 Ag 2.63, 3 Fe 2.71-2.74, 7 W 2.72-2.88

---

Which structure is the least stable? The one labeled run two.

---

Run one
Material: YFe2Ag
Method: DFT, meta-GGA SCAN
State: PBEsol geometry

Values from the calculation:
For the mass density, the calculation gives 7.87 g cm⁻³. For the magnetic moment, the calculation gives 4.82 μB per cell.

a = 3.9626 Å, b = 3.9605 Å, c = 5.0061 Å
α = 113.30°, β = 113.31°, γ = 90.00°
With the nearest neighbours (Å) after each atom.
Fractional positions:
Fe: 0.2500 0.2500 0.4999  4 Fe 2.80, 4 Ag 2.87, 4 Y 2.87
Fe: 0.7500 0.7500 0.5001  4 Fe 2.80, 4 Ag 2.87, 4 Y 2.87
Y: 0.5000 0.0000 0.0000  4 Ag 2.80, 8 Fe 2.87
Ag: 0.0000 0.5000 0.0000  4 Y 2.80, 8 Fe 2.87

---

Run two
Material: YFe2Ag
Method: DFT, meta-GGA SCAN
State: PBEsol geometry

Values from the calculation:
For the mass density, the calculation gives 7.70 g cm⁻³. For the magnetic moment, the calculation gives 5.66 μB per cell.

a = 2.9093 Å, b = 2.9093 Å, c = 9.2244 Å
α = 80.93°, β = 80.93°, γ = 60.00°
With the nearest neighbours (Å) after each atom.
Fractional positions:
Fe: 0.2546 0.2546 0.2363  3 Ag 2.72, 6 Fe 2.91, 3 Y 2.92
Fe: 0.7454 0.7454 0.7637  3 Ag 2.72, 6 Fe 2.91, 3 Y 2.92
Ag: 0.0000 0.0000 0.0000  6 Fe 2.72, 6 Ag 2.91
Y: 0.5000 0.5000 0.5000  6 Y 2.91, 6 Fe 2.92

---

Which structure is the least stable? The one labeled run two.

---

Run one
Material: Zn2FeAg
Method: DFT, meta-GGA SCAN
State: PBEsol geometry

Values from the calculation:
For the mass density, the calculation gives 8.90 g cm⁻³. For the magnetic moment, the calculation gives 2.59 μB per cell.

a = 2.7114 Å, b = 2.7114 Å, c = 8.7762 Å
α = 81.11°, β = 81.11°, γ = 60.00°
With the nearest neighbours (Å) after each atom.
Fractional positions:
Ag: 0.5000 0.5000 0.5000  6 Ag 2.71, 6 Zn 2.78
Zn: 0.2555 0.2555 0.2335  3 Fe 2.55, 6 Zn 2.71, 3 Ag 2.78
Zn: 0.7445 0.7445 0.7665  3 Fe 2.55, 6 Zn 2.71, 3 Ag 2.78
Fe: 0.0000 0.0000 0.0000  6 Zn 2.55, 6 Fe 2.71

---

Run two
Material: Zn2FeAg
Method: DFT, meta-GGA SCAN
State: PBEsol geometry

Values from the calculation:
For the mass density, the calculation gives 9.06 g cm⁻³. For the magnetic moment, the calculation gives 2.44 μB per cell.

a = 2.6664 Å, b = 2.6664 Å, c = 7.5959 Å
α = 90.00°, β = 90.00°, γ = 90.00°
With the nearest neighbours (Å) after each atom.
Fractional positions:
Ag: 0.5000 0.5000 0.0000  4 Ag 2.67, 8 Zn 2.80
Fe: 0.5000 0.5000 0.5000  8 Zn 2.56, 4 Fe 2.67
Zn: 0.0000 0.0000 0.2725  4 Fe 2.56, 4 Zn 2.67, 4 Ag 2.80
Zn: 0.0000 0.0000 0.7275  4 Fe 2.56, 4 Zn 2.67, 4 Ag 2.80

---

Which structure is the least stable? The one labeled run one.

---

Run one
Material: Zr2FeAg
Method: DFT, meta-GGA SCAN
State: PBEsol geometry

Values from the calculation:
For the mass density, the calculation gives 8.32 g cm⁻³. For the magnetic moment, the calculation gives 0.40 μB per cell.

a = 3.0424 Å, b = 3.0428 Å, c = 7.4596 Å
α = 90.09°, β = 90.00°, γ = 90.00°
With the nearest neighbours (Å) after each atom.
Fractional positions:
Fe: 0.5000 0.5000 0.0000  8 Zr 2.68
Zr: 0.0000 0.0012 0.7855  4 Fe 2.68
Zr: 0.0000 0.9988 0.2145  4 Fe 2.68
Ag: 0.5000 0.5000 0.5000  8 Zr 3.03, 4 Ag 3.04

---

Run two
Material: Zr2FeAg
Method: DFT, meta-GGA SCAN
State: PBEsol geometry

Values from the calculation:
For the mass density, the calculation gives 8.08 g cm⁻³. For the magnetic moment, the calculation gives 2.20 μB per cell.

a = 3.3213 Å, b = 3.3213 Å, c = 6.4491 Å
α = 90.00°, β = 90.00°, γ = 90.00°
With the nearest neighbours (Å) after each atom.
Fractional positions:
Zr: 0.0000 0.0000 0.9612  4 Fe 2.69, 1 Ag 2.84
Zr: 0.5000 0.5000 0.2608  4 Ag 2.88, 4 Zr 3.04, 1 Fe 3.20
Fe: 0.5000 0.5000 0.7573  4 Zr 2.69, 4 Ag 2.80
Ag: 0.0000 0.0000 0.5206  4 Fe 2.80, 5 Zr 2.84-2.88

---

Which structure is the least stable? The one labeled run two.

---

Run one
Material: ZrFeAg2
Method: DFT, meta-GGA SCAN
State: PBEsol geometry

Values from the calculation:
For the mass density, the calculation gives 9.20 g cm⁻³. For the magnetic moment, the calculation gives 2.86 μB per cell.

a = 2.8254 Å, b = 2.8254 Å, c = 8.2003 Å
α = 90.00°, β = 90.00°, γ = 90.00°
With the nearest neighbours (Å) after each atom.
Fractional positions:
Ag: 0.0000 0.0000 0.2238  4 Fe 2.71, 4 Ag 2.83, 4 Zr 3.02
Ag: 0.0000 0.0000 0.7762  4 Fe 2.71, 4 Ag 2.83, 4 Zr 3.02
Zr: 0.5000 0.5000 0.5000  4 Zr 2.83, 8 Ag 3.02
Fe: 0.5000 0.5000 0.0000  8 Ag 2.71, 4 Fe 2.83

---

Run two
Material: ZrFeAg2
Method: DFT, meta-GGA SCAN
State: PBEsol geometry

Values from the calculation:
For the mass density, the calculation gives 9.50 g cm⁻³. For the magnetic moment, the calculation gives 1.21 μB per cell.

a = 3.7708 Å, b = 3.7708 Å, c = 5.1975 Å
α = 111.27°, β = 111.27°, γ = 90.00°
With the nearest neighbours (Å) after each atom.
Fractional positions:
Ag: 0.2500 0.7500 0.5000  4 Ag 2.67, 4 Fe 2.92, 4 Zr 2.92
Ag: 0.7500 0.2500 0.5000  4 Ag 2.67, 4 Fe 2.92, 4 Zr 2.92
Fe: 0.5000 0.5000 0.0000  4 Zr 2.67, 8 Ag 2.92
Zr: 0.0000 0.0000 0.0000  4 Fe 2.67, 8 Ag 2.92

---

Run three
Material: ZrFeAg2
Method: DFT, meta-GGA SCAN
State: PBEsol geometry

Values from the calculation:
For the mass density, the calculation gives 9.19 g cm⁻³. For the magnetic moment, the calculation gives 1.65 μB per cell.

a = 4.5265 Å, b = 4.5265 Å, c = 4.5265 Å
α = 60.00°, β = 60.00°, γ = 60.00°
With the nearest neighbours (Å) after each atom.
Fractional positions:
Ag: 0.2500 0.2500 0.2500  4 Fe 2.77, 4 Ag 2.77
Ag: 0.0000 0.0000 0.0000  4 Zr 2.77, 4 Ag 2.77
Fe: 0.5000 0.5000 0.5000  4 Zr 2.77, 4 Ag 2.77
Zr: 0.7500 0.7500 0.7500  4 Ag 2.77, 4 Fe 2.77

---

Which structure is the least stable? The one labeled run one.